1.
3
Lattice="0.000 3.122 3.122 3.122 0.000 3.122 3.122 3.122 0.000" Properties=species:S:1:pos:R:3 comment="UBeGe | OQMD | PBE | optimized geometry" final_energy_ev_per_atom=-6.021 total_magnetization_mub_per_fu=3.25 pbc="T T T"
U 0.000 0.000 0.000
Be 3.122 3.122 3.122
Ge 4.683 4.683 4.683

2.
3
Lattice="0.000 3.202 3.202 3.202 0.000 3.202 3.202 3.202 0.000" Properties=species:S:1:pos:R:3 comment="UBeGe | OQMD | PBE | optimized geometry" final_energy_ev_per_atom=-5.809 total_magnetization_mub_per_fu=2.20 pbc="T T T"
U 0.000 0.000 0.000
Be 1.601 1.601 1.601
Ge 4.803 4.803 4.803

3.
3
Lattice="0.000 3.004 3.004 3.004 0.000 3.004 3.004 3.004 0.000" Properties=species:S:1:pos:R:3 comment="UBeGe | OQMD | PBE | optimized geometry" final_energy_ev_per_atom=-6.354 total_magnetization_mub_per_fu=2.53 pbc="T T T"
U 0.000 0.000 0.000
Be 4.506 4.506 4.506
Ge 3.004 3.004 3.004

4.
6
Lattice="3.838 0.000 0.000 -1.919 3.324 0.000 0.000 0.000 7.762" Properties=species:S:1:pos:R:3 comment="YZrBe2Ge2 | OQMD | PBE | optimized geometry" final_energy_ev_per_atom=-5.954 total_magnetization_mub_per_fu=0.02 pbc="T T T"
Y 0.000 0.000 0.000
Zr 0.000 0.000 3.881
Be 0.000 2.216 5.679
Be 1.919 1.108 2.082
Ge 0.000 2.216 2.022
Ge 1.919 1.108 5.739

5.
4
Lattice="0.000 3.176 3.176 3.176 0.000 3.176 3.176 3.176 0.000" Properties=species:S:1:pos:R:3 comment="BeZnGe2 | OQMD | PBE | optimized geometry" final_energy_ev_per_atom=-3.064 pbc="T T T"
Be 0.000 0.000 0.000
Zn 1.588 1.588 1.588
Ge 3.176 3.176 3.176
Ge 4.765 4.765 4.765

6.
4
Lattice="0.000 3.104 3.104 3.104 0.000 3.104 3.104 3.104 0.000" Properties=species:S:1:pos:R:3 comment="BeZn2Ge | OQMD | PBE | optimized geometry" final_energy_ev_per_atom=-2.335 pbc="T T T"
Be 0.000 0.000 0.000
Zn 1.552 1.552 1.552
Zn 3.104 3.104 3.104
Ge 4.656 4.656 4.656